(1)
The following is a DFT calculation (PBE) of a relaxed structure of Sm2SiI.

## Properties
For the theoretical density, the calculation gives 6.3 g cm⁻³. The symmetry is No. 160. The value obtained for the excess energy over the best structure of this formula in the dataset is 0.021 eV/atom.

Geometry as POSCAR:
```
Sm2SiI
1.0
4.241 0.000 0.000
-2.121 3.673 0.000
0.000 0.000 23.283
Sm Si I
6 3 3
Direct
0.000 0.000 0.000
0.000 0.000 0.203
0.333 0.667 0.667
0.333 0.667 0.870
0.667 0.333 0.333
0.667 0.333 0.536
0.000 0.000 0.603
0.333 0.667 0.269
0.667 0.333 0.936
0.000 0.000 0.433
0.333 0.667 0.100
0.667 0.333 0.767
```



(2)
The following is a DFT calculation (PBE) of a relaxed structure of Sm3SiI3.

## Properties
For the theoretical density, the calculation gives 5.9 g cm⁻³. The symmetry is No. 11. The value obtained for the excess energy over the best structure of this formula in the dataset is 0.000 eV/atom.

Geometry as POSCAR:
```
Sm3SiI3
1.0
9.029 0.000 0.000
0.000 4.297 0.000
-0.167 0.000 12.417
Sm Si I
6 2 6
Direct
0.099 0.250 0.385
0.118 0.250 0.841
0.321 0.750 0.621
0.679 0.250 0.379
0.882 0.750 0.159
0.901 0.750 0.615
0.116 0.250 0.618
0.884 0.750 0.382
0.137 0.250 0.119
0.371 0.750 0.875
0.385 0.750 0.367
0.615 0.250 0.633
0.629 0.250 0.125
0.863 0.750 0.881
```



(3)
The following is a DFT calculation (PBE) of a relaxed structure of Sm4SiTe2I.

## Properties
For the theoretical density, the calculation gives 6.9 g cm⁻³. The symmetry is No. 10.

Geometry as POSCAR:
```
Sm4SiTe2I
1.0
7.596 0.000 0.000
0.000 4.346 0.000
-2.493 0.000 7.379
Sm Si Te I
4 1 2 1
Direct
0.223 0.000 0.215
0.243 0.500 0.784
0.757 0.500 0.216
0.777 0.000 0.785
0.000 0.500 0.000
0.500 0.000 0.000
0.500 0.500 0.500
0.000 0.000 0.500
```



V / A^3/atom: 30.2; 34.4; 30.4
Uncorrected formation energy / meV per atom: -914; -1153; -1141